# 1
A relaxed structure of SiPb2S4. Source: the Alexandria database, functional PBE-GGA.

## Properties
magnetic moment = 0.00 μB per atom
final energy = -4.801 eV per atom
relative energy among the computed polymorphs = 14 meV/atom
formation energy (no corrections) = -0.61 eV per atom

Cell: 6.734 6.566 8.483 Å, 90.00 107.84 90.00°
Space group P2_1/m (No. 11)
Symmetry-distinct sites (fractional):
1 Si 0.212 0.250 0.289 (multiplicity 2)
2 Pb 0.238 0.750 0.058 (multiplicity 2)
3 Pb 0.258 0.750 0.555 (multiplicity 2)
4 S 0.001 0.502 0.226 (multiplicity 4)
5 S 0.374 0.250 0.548 (multiplicity 2)
6 S 0.420 0.250 0.144 (multiplicity 2)

***

# 2
A relaxed structure of CeHoCd. Source: the Alexandria database, functional PBE-GGA.

## Properties
magnetic moment = 0.22 μB per atom
final energy = -3.946 eV per atom
E_form = -0.4 eV per formula unit
relative energy among the computed polymorphs = 0 meV/atom

Cell: 3.465 17.575 5.344 Å, 90.00 90.00 90.00°
Space group Cmcm (No. 63)
Symmetry-distinct sites (fractional):
1 Ce 0.000 0.229 0.250 (multiplicity 4)
2 Ho 0.000 0.092 0.750 (multiplicity 4)
3 Cd 0.000 0.437 0.750 (multiplicity 4)

***

# 3
A relaxed structure of TbNdHoTh2. Source: the Alexandria database, functional PBE-GGA.

## Properties
magnetic moment = 0.00 μB per atom
final energy = -5.342 eV per atom
E_form = 2.1 eV per formula unit

Cell: 6.681 15.797 6.682 Å, 90.00 90.00 90.00°
Space group Cmcm (No. 63)
Symmetry-distinct sites (fractional):
1 Tb 0.000 0.152 0.250 (multiplicity 4)
2 Nd 0.000 0.348 0.250 (multiplicity 4)
3 Ho 0.000 0.218 0.750 (multiplicity 4)
4 Th 0.244 0.000 0.000 (multiplicity 8)

***

# 4
A relaxed structure of Ho4ZnCu2. Source: the Alexandria database, functional PBE-GGA.

## Properties
magnetic moment = 0.00 μB per atom
final energy = -4.128 eV per atom
E_form = -1.1 eV per formula unit
relative energy among the computed polymorphs = 6 meV/atom

Cell: 4.9031 4.9031 23.6688 Å, 90.00 90.00 120.00°
Space group R-3m (No. 166, hexagonal axes)
Symmetry-distinct sites (fractional):
1 Ho 0.0000 0.0000 0.1209 (multiplicity 6)
2 Ho 0.0000 0.0000 0.3723 (multiplicity 6)
3 Zn 0.0000 0.0000 0.5000 (multiplicity 3)
4 Cu 0.0000 0.0000 0.2472 (multiplicity 6)

***

# 5
A relaxed structure of ZnFeNiGe. Source: the Alexandria database, functional PBE-GGA.

## Properties
magnetic moment = 0.34 μB per atom
final energy = -5.113 eV per atom
E_form = -0.3 eV per formula unit

Cell: 5.808 5.808 5.808 Å, 90.00 90.00 90.00°
Space group F-43m (No. 216)
Symmetry-distinct sites (fractional):
1 Zn 0.000 0.000 0.000 (multiplicity 4)
2 Fe 0.250 0.250 0.250 (multiplicity 4)
3 Ni 0.250 0.250 0.750 (multiplicity 4)
4 Ge 0.000 0.000 0.500 (multiplicity 4)

***

# 6
A relaxed structure of Cr2MoP. Source: the Alexandria database, functional PBE-GGA.

## Properties
magnetic moment = 0.54 μB per atom
final energy = -8.475 eV per atom
E_form = 1.6 eV per formula unit

Cell: 6.840 6.840 4.847 Å, 90.00 90.00 90.00°
Space group I-42d (No. 122)
Symmetry-distinct sites (fractional):
1 Cr 0.182 0.250 0.125 (multiplicity 8)
2 Mo 0.000 0.000 0.500 (multiplicity 4)
3 P 0.000 0.000 0.000 (multiplicity 4)